# Cr2SnO GGA+U optimized geometry
data_Cr2SnO
_chemical_formula_sum 'Cr2 Sn1 O1'
_cell_length_a 4.571
_cell_length_b 4.571
_cell_length_c 4.571
_cell_angle_alpha 60.00
_cell_angle_beta 60.00
_cell_angle_gamma 60.00
_symmetry_space_group_name_H-M 'P 1'
_symmetry_Int_Tables_number 1
loop_
_symmetry_equiv_pos_as_xyz
'x,y,z'
loop_
_atom_site_label
_atom_site_type_symbol
_atom_site_fract_x
_atom_site_fract_y
_atom_site_fract_z
Cr1 Cr 0.250 0.250 0.250
Cr2 Cr 0.750 0.750 0.750
O1 O 0.000 0.000 0.000
Sn1 Sn 0.500 0.500 0.500
# Total energy in eV/cell: -22.569
# Magnetic moment in μB/f.u.: 8.4